# 1
Here is a relaxed structure of Mn2ReCl from Alexandria. Energies are from PBE.

Output
The calculation puts the total moment at 5.81 μB/cell. The mass density is 9203 kg/m3. Its crystal system is tetragonal. For the total energy, the calculation gives -7.181 eV/atom. The calculation puts the energy above the most stable polymorph in this dataset at 877 meV/atom. As for the uncorrected formation energy: 0.977 eV per atom.

Cell and atoms, written as POSCAR:
```
Mn2ReCl
1.0
-1.9792 -1.6165 3.8740
3.5963 -0.9396 2.7788
-0.9251 3.9370 -2.2765
Mn Re Cl
2 1 1
Direct
0.5000 0.5000 0.0000
0.0000 0.0000 0.0000
0.2500 0.7500 0.5000
0.7500 0.2500 0.5000
```

# 2
Here is a relaxed structure of CdAgOs2 from Alexandria. Energies are from PBE.

Output
The calculation puts the total moment at 0.00 μB/cell. The mass density is 15171 kg/m3. Its crystal system is orthorhombic. For the total energy, the calculation gives -5.833 eV/atom. The formation energy from the elements comes out at 723 meV per atom.

Cell and atoms, written as POSCAR:
```
CdAgOs2
1.0
5.6658 -0.0034 -0.0011
3.0233 4.7918 0.0011
-3.7273 -3.5143 2.4205
Os Cd Ag
2 1 1
Direct
0.5023 0.5023 0.0000
0.9977 0.9977 0.0000
0.2500 0.7500 0.5000
0.7500 0.2500 0.5000
```